## Pu3Ga7Pd2 (PBE-GGA)

Data for an optimized crystal structure of Pu3Ga7Pd2.

Calculated values
Total magnetization = 16.53 μB per cell
ΔE_f = -479 meV per atom
Density of states at the Fermi level = 24.840 states/eV per cell
SG = R-3m, No. 166

a = 5.5005 Å, b = 5.5005 Å, c = 9.2397 Å
α = 72.68°, β = 72.68°, γ = 60.00°
Atoms (fractional coordinates):
Pu1 0.0000 0.0000 0.0000
Pu2 0.8551 0.8551 0.4347
Pu3 0.1449 0.1449 0.5653
Ga1 0.5000 0.5000 0.5000
Ga2 0.9292 0.4143 0.2423
Ga3 0.4143 0.9292 0.2423
Ga4 0.4143 0.4143 0.2423
Ga5 0.0708 0.5857 0.7577
Ga6 0.5857 0.5857 0.7577
Ga7 0.5857 0.0708 0.7577
Pd1 0.6632 0.6632 0.0105
Pd2 0.3368 0.3368 0.9895